1.
Below is an optimized crystal structure of LiNbAlCo, with properties calculated at the PBE-GGA level.

a b c (Å): 4.2033 4.2033 4.2033
angles (deg): 60.00 60.00 60.00
Atoms (fractional coordinates):
Li (0.0000, 0.0000, 0.0000)
Nb (0.2500, 0.2500, 0.2500)
Al (0.7500, 0.7500, 0.7500)
Co (0.5000, 0.5000, 0.5000)

* energy above the most stable polymorph in this dataset: 0 meV per atom

=====

2.
Below is an optimized crystal structure of LiNbAlCo, with properties calculated at the PBE-GGA level.

a b c (Å): 4.2648 4.2648 4.2648
angles (deg): 60.00 60.00 60.00
Atoms (fractional coordinates):
Li (0.0000, 0.0000, 0.0000)
Nb (0.2500, 0.2500, 0.2500)
Al (0.5000, 0.5000, 0.5000)
Co (0.7500, 0.7500, 0.7500)

* energy above the most stable polymorph in this dataset: 507 meV per atom

=====

3.
Below is an optimized crystal structure of LiNbAlCo, with properties calculated at the PBE-GGA level.

a b c (Å): 4.2671 4.2671 4.2671
angles (deg): 60.00 60.00 60.00
Atoms (fractional coordinates):
Li (0.0000, 0.0000, 0.0000)
Nb (0.5000, 0.5000, 0.5000)
Al (0.2500, 0.2500, 0.2500)
Co (0.7500, 0.7500, 0.7500)

* energy above the most stable polymorph in this dataset: 257 meV per atom

=====

4.
Below is an optimized crystal structure of Li2Nb2Al2CoPd, with properties calculated at the PBE-GGA level.

a b c (Å): 4.2817 4.2817 6.1612
angles (deg): 90.00 90.00 90.00
Atoms (fractional coordinates):
Li (0.0000, 0.0000, 0.0000)
Li (0.5000, 0.5000, 0.5000)
Nb (0.0000, 0.5000, 0.2285)
Nb (0.5000, 0.0000, 0.7715)
Al (0.0000, 0.5000, 0.7552)
Al (0.5000, 0.0000, 0.2448)
Co (0.5000, 0.5000, 0.0000)
Pd (0.0000, 0.0000, 0.5000)

=====

5.
Below is an optimized crystal structure of LiAlCoNi, with properties calculated at the PBE-GGA level.

a b c (Å): 3.9768 3.9768 3.9768
angles (deg): 60.00 60.00 60.00
Atoms (fractional coordinates):
Li (0.0000, 0.0000, 0.0000)
Al (0.5000, 0.5000, 0.5000)
Co (0.7500, 0.7500, 0.7500)
Ni (0.2500, 0.2500, 0.2500)

* energy above the most stable polymorph in this dataset: 0 meV per atom

=====

6.
Below is an optimized crystal structure of Li2Ta2Al2CoOs, with properties calculated at the PBE-GGA level.

a b c (Å): 4.2791 4.2791 6.0573
angles (deg): 90.00 90.00 90.00
Atoms (fractional coordinates):
Li (0.0000, 0.0000, 0.0000)
Li (0.5000, 0.5000, 0.5000)
Ta (0.0000, 0.5000, 0.7393)
Ta (0.5000, 0.0000, 0.2607)
Al (0.0000, 0.5000, 0.2537)
Al (0.5000, 0.0000, 0.7463)
Co (0.0000, 0.0000, 0.5000)
Os (0.5000, 0.5000, 0.0000)

=====

7.
Below is an optimized crystal structure of Li2Zr2Al2CoPd, with properties calculated at the PBE-GGA level.

a b c (Å): 4.4030 4.4030 6.3120
angles (deg): 90.00 90.00 90.00
Atoms (fractional coordinates):
Li (0.0000, 0.0000, 0.0000)
Li (0.5000, 0.5000, 0.5000)
Zr (0.0000, 0.5000, 0.7324)
Zr (0.5000, 0.0000, 0.2676)
Al (0.0000, 0.5000, 0.2593)
Al (0.5000, 0.0000, 0.7407)
Co (0.0000, 0.0000, 0.5000)
Pd (0.5000, 0.5000, 0.0000)

=====

8.
Below is an optimized crystal structure of Li2Zr2Al2CoPt, with properties calculated at the PBE-GGA level.

a b c (Å): 4.4059 4.4059 6.2953
angles (deg): 90.00 90.00 90.00
Atoms (fractional coordinates):
Li (0.0000, 0.0000, 0.0000)
Li (0.5000, 0.5000, 0.5000)
Zr (0.0000, 0.5000, 0.7330)
Zr (0.5000, 0.0000, 0.2670)
Al (0.0000, 0.5000, 0.2579)
Al (0.5000, 0.0000, 0.7421)
Co (0.0000, 0.0000, 0.5000)
Pt (0.5000, 0.5000, 0.0000)

=====

Computed values of DFT total energy (unit: eV/atom) for the preceding records, in sequence: -6.0544; -5.5478; -5.7969; -5.7626; -4.8500; -7.0170; -5.5858; -5.8130.